Below is a geometry-optimized La2PuCuTe5 structure, with properties calculated at the PBE level.

Space-group type: No. 36
Formation energy (no corrections): -1.17 eV/atom

abc: 9.8598 9.8598 13.0775
angles: 90.00 90.00 154.17
Last column: nearest neighbours and their distance in Å.
Atoms (fractional coordinates):
La 0.1100 0.8900 0.5000  8 Te 3.29-3.48
La 0.1218 0.8782 0.1237  7 Te 3.24-3.62
La 0.8782 0.1218 0.6237  7 Te 3.24-3.62
La 0.8900 0.1100 0.0000  8 Te 3.29-3.48
Pu 0.1958 0.8042 0.8235  6 Te 3.01-3.14, 2 Cu 3.33
Pu 0.8042 0.1958 0.3235  6 Te 3.01-3.14, 2 Cu 3.33
Cu 0.4290 0.5710 0.2693  4 Te 2.64-2.68
Cu 0.5710 0.4290 0.7693  4 Te 2.64-2.68
Te 0.0430 0.9570 0.8723  2 Cu 2.64
Te 0.2912 0.7088 0.4876  2 Pu 3.09, 2 La 3.29
Te 0.3120 0.6880 0.1580  1 Cu 2.68
Te 0.3593 0.6407 0.8153  1 Pu 3.14, 4 La 3.32-3.36
Te 0.4994 0.5006 0.0958  1 Cu 2.64
Te 0.5006 0.4994 0.5958  1 Cu 2.64
Te 0.6407 0.3593 0.3153  1 Pu 3.14, 4 La 3.32-3.36
Te 0.6880 0.3120 0.6580  1 Cu 2.68
Te 0.7088 0.2912 0.9876  2 Pu 3.09, 2 La 3.29
Te 0.9570 0.0430 0.3723  2 Cu 2.64